Entry 1:
# CePrMgBi | the Alexandria database | PBE-GGA | relaxed
# Calculated density in g/cm3: 7.1
# Energy relative to the elements in eV/atom: -0.304
# Fermi-level density of states in states/eV/f.u.: 10.023
data_CePrMgBi
_symmetry_space_group_name_H-M 'P 1'
_symmetry_Int_Tables_number 1
_cell_length_a 5.549
_cell_length_b 5.549
_cell_length_c 5.549
_cell_angle_alpha 60.00
_cell_angle_beta 60.00
_cell_angle_gamma 60.00
loop_
_symmetry_equiv_pos_as_xyz
'x,y,z'
loop_
_atom_site_label
_atom_site_type_symbol
_atom_site_fract_x
_atom_site_fract_y
_atom_site_fract_z
Ce1 Ce 0.000 0.000 0.000
Pr1 Pr 0.500 0.500 0.500
Mg1 Mg 0.750 0.750 0.750
Bi1 Bi 0.250 0.250 0.250

Entry 2:
# Zr2SiBi | the Alexandria database | PBE-GGA | relaxed
# Uncorrected formation energy in eV/atom: 0.347
# Calculated density in g/cm3: 5.4
# Fermi-level density of states in states/eV/f.u.: 3.114
# ΔE to the lowest computed polymorph in eV/f.u.: 3.43
data_Zr2SiBi
_symmetry_space_group_name_H-M 'P 1'
_symmetry_Int_Tables_number 1
_cell_length_a 7.842
_cell_length_b 7.842
_cell_length_c 7.842
_cell_angle_alpha 132.55
_cell_angle_beta 132.55
_cell_angle_gamma 69.36
loop_
_symmetry_equiv_pos_as_xyz
'x,y,z'
loop_
_atom_site_label
_atom_site_type_symbol
_atom_site_fract_x
_atom_site_fract_y
_atom_site_fract_z
Zr1 Zr 0.078 0.625 0.953
Zr2 Zr 0.375 0.328 0.453
Zr3 Zr 0.672 0.125 0.047
Zr4 Zr 0.875 0.922 0.547
Si1 Si 0.000 0.000 0.000
Si2 Si 0.750 0.250 0.500
Bi1 Bi 0.250 0.750 0.500
Bi2 Bi 0.500 0.500 0.000

Entry 3:
# CeZrScS3 | the Alexandria database | PBE-GGA | relaxed
# Uncorrected formation energy in eV/atom: -1.724
# Calculated density in g/cm3: 4.9
# Fermi-level density of states in states/eV/f.u.: 6.933
data_CeZrScS3
_symmetry_space_group_name_H-M 'P 1'
_symmetry_Int_Tables_number 1
_cell_length_a 7.498
_cell_length_b 3.764
_cell_length_c 9.321
_cell_angle_alpha 90.00
_cell_angle_beta 107.73
_cell_angle_gamma 90.00
loop_
_symmetry_equiv_pos_as_xyz
'x,y,z'
loop_
_atom_site_label
_atom_site_type_symbol
_atom_site_fract_x
_atom_site_fract_y
_atom_site_fract_z
Ce1 Ce 0.201 0.250 0.222
Ce2 Ce 0.799 0.750 0.778
Zr1 Zr 0.138 0.250 0.612
Zr2 Zr 0.862 0.750 0.388
Sc1 Sc 0.330 0.750 0.901
Sc2 Sc 0.670 0.250 0.099
S1 S 0.095 0.250 0.885
S2 S 0.232 0.750 0.458
S3 S 0.490 0.750 0.188
S4 S 0.510 0.250 0.812
S5 S 0.768 0.250 0.542
S6 S 0.905 0.750 0.115

Entry 4:
# LiCd7Hg3 | the Alexandria database | PBE-GGA | relaxed
# Calculated density in g/cm3: 8.9
# Energy relative to the elements in eV/atom: -0.030
# Fermi-level density of states in states/eV/f.u.: 3.447
# ΔE to the lowest computed polymorph in eV/f.u.: 0.00
data_LiCd7Hg3
_symmetry_space_group_name_H-M 'P 1'
_symmetry_Int_Tables_number 1
_cell_length_a 6.357
_cell_length_b 6.357
_cell_length_c 7.428
_cell_angle_alpha 90.00
_cell_angle_beta 90.00
_cell_angle_gamma 120.00
loop_
_symmetry_equiv_pos_as_xyz
'x,y,z'
loop_
_atom_site_label
_atom_site_type_symbol
_atom_site_fract_x
_atom_site_fract_y
_atom_site_fract_z
Li1 Li 0.000 0.000 0.000
Cd1 Cd 0.333 0.667 0.340
Cd2 Cd 0.334 0.167 0.345
Cd3 Cd 0.505 0.010 0.002
Cd4 Cd 0.505 0.495 0.002
Cd5 Cd 0.833 0.167 0.345
Cd6 Cd 0.833 0.666 0.345
Cd7 Cd 0.990 0.495 0.002
Hg1 Hg 0.164 0.329 0.683
Hg2 Hg 0.164 0.836 0.683
Hg3 Hg 0.671 0.836 0.683

Entry 5:
# TaMoSe3 | the Alexandria database | PBE-GGA | relaxed
# Uncorrected formation energy in eV/atom: -0.458
# Calculated density in g/cm3: 8.4
# Fermi-level density of states in states/eV/f.u.: 1.575
# ΔE to the lowest computed polymorph in eV/f.u.: 0.00
data_TaMoSe3
_symmetry_space_group_name_H-M 'P 1'
_symmetry_Int_Tables_number 1
_cell_length_a 6.237
_cell_length_b 6.237
_cell_length_c 5.820
_cell_angle_alpha 90.63
_cell_angle_beta 90.63
_cell_angle_gamma 116.74
loop_
_symmetry_equiv_pos_as_xyz
'x,y,z'
loop_
_atom_site_label
_atom_site_type_symbol
_atom_site_fract_x
_atom_site_fract_y
_atom_site_fract_z
Ta1 Ta 0.135 0.865 0.000
Ta2 Ta 0.865 0.135 0.000
Mo1 Mo 0.125 0.875 0.500
Mo2 Mo 0.875 0.125 0.500
Se1 Se 0.161 0.501 0.261
Se2 Se 0.252 0.252 0.755
Se3 Se 0.499 0.839 0.739
Se4 Se 0.501 0.161 0.261
Se5 Se 0.748 0.748 0.245
Se6 Se 0.839 0.499 0.739

Entry 6:
# Tb6Pm2Dy3Pu | the Alexandria database | PBE-GGA | relaxed
# Calculated density in g/cm3: 8.6
# Energy relative to the elements in eV/atom: 0.047
# Fermi-level density of states in states/eV/f.u.: 24.987
data_Tb6Pm2Dy3Pu
_symmetry_space_group_name_H-M 'P 1'
_symmetry_Int_Tables_number 1
_cell_length_a 6.168
_cell_length_b 6.168
_cell_length_c 11.765
_cell_angle_alpha 95.04
_cell_angle_beta 95.04
_cell_angle_gamma 120.05
loop_
_symmetry_equiv_pos_as_xyz
'x,y,z'
loop_
_atom_site_label
_atom_site_type_symbol
_atom_site_fract_x
_atom_site_fract_y
_atom_site_fract_z
Tb1 Tb 0.083 0.413 0.750
Tb2 Tb 0.246 0.246 0.250
Tb3 Tb 0.413 0.083 0.750
Tb4 Tb 0.587 0.917 0.250
Tb5 Tb 0.754 0.754 0.750
Tb6 Tb 0.917 0.587 0.250
Pm1 Pm 0.333 0.667 0.500
Pm2 Pm 0.667 0.333 0.500
Dy1 Dy 0.167 0.833 0.000
Dy2 Dy 0.500 0.500 0.000
Dy3 Dy 0.833 0.167 0.000
Pu1 Pu 0.000 0.000 0.500

Entry 7:
# ScGeBi3 | the Alexandria database | PBE-GGA | relaxed
# Calculated density in g/cm3: 7.1
# Energy relative to the elements in eV/atom: 0.429
# Fermi-level density of states in states/eV/f.u.: 3.698
# ΔE to the lowest computed polymorph in eV/f.u.: 0.00
data_ScGeBi3
_symmetry_space_group_name_H-M 'P 1'
_symmetry_Int_Tables_number 1
_cell_length_a 5.574
_cell_length_b 5.574
_cell_length_c 5.574
_cell_angle_alpha 90.00
_cell_angle_beta 90.00
_cell_angle_gamma 90.00
loop_
_symmetry_equiv_pos_as_xyz
'x,y,z'
loop_
_atom_site_label
_atom_site_type_symbol
_atom_site_fract_x
_atom_site_fract_y
_atom_site_fract_z
Sc1 Sc 0.000 0.000 0.000
Ge1 Ge 0.500 0.500 0.500
Bi1 Bi 0.000 0.000 0.500
Bi2 Bi 0.000 0.500 0.000
Bi3 Bi 0.500 0.000 0.000

Entry 8:
# Mg2Bi | the Alexandria database | PBE-GGA | relaxed
# Calculated density in g/cm3: 5.3
# Energy relative to the elements in eV/atom: -0.091
# Fermi-level density of states in states/eV/f.u.: 0.804
data_Mg2Bi
_symmetry_space_group_name_H-M 'P 1'
_symmetry_Int_Tables_number 1
_cell_length_a 7.218
_cell_length_b 7.218
_cell_length_c 8.530
_cell_angle_alpha 124.68
_cell_angle_beta 124.68
_cell_angle_gamma 26.66
loop_
_symmetry_equiv_pos_as_xyz
'x,y,z'
loop_
_atom_site_label
_atom_site_type_symbol
_atom_site_fract_x
_atom_site_fract_y
_atom_site_fract_z
Mg1 Mg 0.107 0.107 0.492
Mg2 Mg 0.389 0.389 0.174
Mg3 Mg 0.611 0.611 0.826
Mg4 Mg 0.893 0.893 0.508
Bi1 Bi 0.172 0.172 0.190
Bi2 Bi 0.828 0.828 0.810

Quick rundown of magnetic moment, same order as above: 1.6, 0.0, 1.8, 0.0, 0.0, 6.4, 0.0, 0.0 μB per cell